(1)
# TbPrSm3

A relaxed TbPrSm3 crystal (PBE-GGA, Alexandria via LeMat-Bulk).

Volume in Å³/cell: 341
Energy relative to the elements in eV/atom: 0.164
Space group: P-1, No. 2

Unit cell a=6.614 b=11.824 c=6.592 alpha=124.12 beta=120.04 gamma=89.68
Element x y z (fractional)
Sm 0.870 0.813 0.329
Sm 0.707 0.188 0.834
Sm 0.130 0.187 0.671
Sm 0.293 0.812 0.166
Sm 0.307 0.458 0.610
Sm 0.693 0.542 0.390
Tb 0.545 0.186 0.247
Tb 0.455 0.814 0.753
Pr 0.000 0.500 0.000
Pr 0.000 0.000 0.000

(2)
# Tb6PrSm5

A relaxed Tb6PrSm5 crystal (PBE-GGA, Alexandria via LeMat-Bulk).

Volume in Å³/cell: 396
Energy relative to the elements in eV/atom: 0.016
Space group: Immm, No. 71

Unit cell a=5.093 b=10.171 c=9.526 alpha=122.27 beta=105.52 gamma=90.00
Element x y z (fractional)
Sm 0.333 0.833 0.665
Sm 0.667 0.167 0.335
Sm 0.667 0.667 0.333
Sm 0.000 0.500 0.000
Sm 0.333 0.333 0.667
Tb 0.833 0.084 0.666
Tb 0.500 0.251 0.000
Tb 0.833 0.582 0.666
Tb 0.167 0.418 0.334
Tb 0.167 0.916 0.334
Tb 0.500 0.749 0.000
Pr 0.000 0.000 0.000

(3)
# Tb6Pr3Sm

A relaxed Tb6Pr3Sm crystal (PBE-GGA, Alexandria via LeMat-Bulk).

Volume in Å³/cell: 356
Energy relative to the elements in eV/atom: 0.290
Space group: C2/m, No. 12

Unit cell a=8.673 b=9.008 c=6.350 alpha=98.07 beta=133.08 gamma=90.00
Element x y z (fractional)
Tb 0.618 0.871 0.236
Tb 0.382 0.129 0.764
Tb 0.059 0.646 0.755
Tb 0.696 0.646 0.755
Tb 0.941 0.354 0.245
Tb 0.304 0.354 0.245
Pr 0.216 0.736 0.433
Pr 0.784 0.264 0.567
Pr 0.000 0.000 0.000
Sm 0.500 0.500 0.000

(4)
# Tb3Pr6Sm2

A relaxed Tb3Pr6Sm2 crystal (PBE-GGA, Alexandria via LeMat-Bulk).

Volume in Å³/cell: 381
Energy relative to the elements in eV/atom: 0.014
Space group: P-1, No. 2

Unit cell a=6.335 b=8.189 c=15.071 alpha=49.33 beta=60.62 gamma=97.32
Element x y z (fractional)
Pr 0.908 0.363 0.272
Pr 0.092 0.637 0.728
Pr 0.182 0.276 0.454
Pr 0.818 0.724 0.546
Pr 0.729 0.091 0.818
Pr 0.271 0.909 0.182
Tb 0.000 0.000 0.000
Tb 0.452 0.180 0.638
Tb 0.548 0.820 0.362
Sm 0.640 0.458 0.089
Sm 0.360 0.542 0.911